This record from the Alexandria database describes a relaxed structure of Na3BrO. The functional is PBE.

Cell lengths 4.6075, 4.6075, 4.6075 Å; angles 90.00, 90.00, 90.00 degrees
Fractional positions:
Na 0.0000 0.0000 0.5000
Na 0.0000 0.5000 0.0000
Na 0.5000 0.0000 0.0000
Br 0.5000 0.5000 0.5000
O 0.0000 0.0000 0.0000

Summary:
Total DFT energy (no corrections) = -17.47 eV/f.u.
DOS(E_F) = 0.000 states/eV/f.u.
Mass density = 2.8 g/cm³
Energy relative to the elements, uncorrected = -1.376 eV per atom
Crystal system = cubic
Relative energy among the computed polymorphs = 0 meV per atom
Magnetization = 0.000 μB/f.u.

=====

This record from the Alexandria database describes a relaxed structure of LiYTc. The functional is PBE.

Cell lengths 5.2339, 5.2339, 5.2339 Å; angles 148.03, 131.50, 59.27 degrees
Fractional positions:
Li 0.0000 0.0000 0.0000
Y 0.3133 0.3133 0.0000
Tc 0.6474 0.6474 0.0000

Summary:
Total DFT energy (no corrections) = -17.70 eV/f.u.
ΔE_f = 347.7 meV/atom
DOS(E_F) = 1.642 states/eV/f.u.
Mass density = 5.7 g/cm³
Crystal system = orthorhombic
Relative energy among the computed polymorphs = 30 meV per atom
Magnetization = 0.000 μB/f.u.

=====

This record from the Alexandria database describes a relaxed structure of NaMgSn2Ge. The functional is PBE.

Cell lengths 5.3831, 5.3831, 5.1292 Å; angles 90.00, 90.00, 90.00 degrees
Fractional positions:
Na 0.0000 0.0000 0.0000
Mg 0.0000 0.0000 0.5000
Sn 0.0000 0.5000 0.0000
Sn 0.5000 0.0000 0.0000
Ge 0.5000 0.5000 0.5000

Summary:
Total DFT energy (no corrections) = -11.61 eV/f.u.
ΔE_f = 785.5 meV/atom
DOS(E_F) = 3.422 states/eV/f.u.
Mass density = 4.0 g/cm³
Crystal system = tetragonal
Magnetization = 0.000 μB/f.u.

=====

This record from the Alexandria database describes a relaxed structure of GeS2Br. The functional is PBE.

Cell lengths 7.9684, 7.9684, 7.9684 Å; angles 27.48, 27.48, 27.48 degrees
Fractional positions:
Ge 0.0000 0.0000 0.0000
S 0.3930 0.3930 0.3930
S 0.6070 0.6070 0.6070
Br 0.5000 0.5000 0.5000

Summary:
Total DFT energy (no corrections) = -14.50 eV/f.u.
DOS(E_F) = 1.801 states/eV/f.u.
Mass density = 3.8 g/cm³
Energy relative to the elements, uncorrected = 0.010 eV per atom
Crystal system = trigonal
Relative energy among the computed polymorphs = 151 meV per atom
Magnetization = 0.000 μB/f.u.